--- A ---
First-principles (PBE-GGA) data for an optimized crystal structure of Ho2Er5Tm12, as listed in Alexandria.

The space group is C2/m (No. 12) and the conventional cell measures 15.540, 9.058 and 8.356 Å, with angles of 90.00, 90.98 and 90.00 degrees. The inequivalent atoms are Ho at (0.000, 0.180, 0.000), Er at (0.000, 0.500, 0.500), Er at (0.198, 0.000, 0.008), Er at (0.233, 0.500, 0.575), Tm at (0.057, 0.000, 0.333), Tm at (0.093, 0.500, 0.885), Tm at (0.127, 0.193, 0.659) and Tm at (0.156, 0.318, 0.245).

The magnetization comes out at 0.0 μB/f.u. The calculated density comes out at 9.0 g/cm³.


--- B ---
First-principles (PBE-GGA) data for an optimized crystal structure of Ho2Er5Tm12, as listed in Alexandria.

The space group is P-1 (No. 2) and the conventional cell measures 6.396, 8.719 and 11.187 Å, with angles of 109.29, 93.08 and 98.49 degrees. The inequivalent atoms are Ho at (0.236, 0.445, 0.460), Er at (0.013, 0.390, 0.719), Er at (0.300, 0.012, 0.303), Er at (0.500, 0.000, 0.000), Tm at (0.022, 0.202, 0.138), Tm at (0.169, 0.872, 0.578), Tm at (0.202, 0.172, 0.862), Tm at (0.279, 0.599, 0.041), Tm at (0.448, 0.656, 0.770) and Tm at (0.468, 0.259, 0.631).

The magnetization comes out at 0.0 μB/f.u. The calculated density comes out at 9.2 g/cm³.


The least stable of them is A.


--- A ---
First-principles (PBE-GGA) data for an optimized crystal structure of HoEr5Tm4, as listed in Alexandria.

The space group is I4 (No. 79) and the conventional cell measures 10.028, 10.028 and 6.228 Å, with angles of 90.00, 90.00 and 90.00 degrees. The inequivalent atoms are Ho at (0.000, 0.000, 0.000), Er at (0.000, 0.000, 0.459), Er at (0.143, 0.767, 0.729) and Tm at (0.049, 0.654, 0.230).

The magnetization comes out at 0.0 μB/f.u. The calculated density comes out at 8.9 g/cm³.


--- B ---
First-principles (PBE-GGA) data for an optimized crystal structure of HoEr5Tm4, as listed in Alexandria.

The space group is P-1 (No. 2) and the conventional cell measures 3.513, 6.515 and 13.776 Å, with angles of 84.02, 86.92 and 77.35 degrees. The inequivalent atoms are Ho at (0.000, 0.000, 0.000), Er at (0.154, 0.132, 0.585), Er at (0.438, 0.592, 0.615), Er at (0.500, 0.500, 0.000), Tm at (0.048, 0.326, 0.804) and Tm at (0.278, 0.138, 0.212).

The magnetization comes out at 0.0 μB/f.u. The calculated density comes out at 9.1 g/cm³.


The least stable of them is A.